No. 1
PBE BaCa2ScAu, optimized geometry; magnetic moment = 0.000 Bohr magnetons per cell; energy of formation from the pure elements = -213 meV/atom; calculated volume = 37.22 A^3/atom
1.0
5.8831 0.0000 0.0000
0.0000 5.8831 0.0000
0.0000 0.0000 5.3770
Ba Ca Sc Au
1 2 1 1
Cartesian
0.0000 0.0000 0.0000
0.0000 2.9416 2.6885
2.9416 0.0000 2.6885
2.9416 2.9416 0.0000
2.9416 2.9416 2.6885

=====

No. 2
PBE BaCa2SiAu, optimized geometry; magnetic moment = 0.691 Bohr magnetons per cell; E_form (uncorrected) = 1.13 eV per atom; calculated volume = 43.86 A^3/atom
1.0
6.2962 0.0000 0.0000
0.0000 6.2962 0.0000
0.0000 0.0000 5.5324
Ba Ca Si Au
1 2 1 1
Cartesian
0.0000 0.0000 0.0000
0.0000 3.1481 0.0000
3.1481 0.0000 0.0000
3.1481 3.1481 2.7662
0.0000 0.0000 2.7662

=====

No. 3
PBE BaCaSn2Au2, optimized geometry; magnetic moment = 0.000 Bohr magnetons per cell; energy of formation from the pure elements = -721 meV/atom; calculated volume = 27.73 A^3/atom
1.0
4.8903 0.0000 0.0000
-2.4452 4.2352 0.0000
0.0000 0.0000 8.0342
Ba Ca Sn Au
1 1 2 2
Cartesian
0.0000 0.0000 0.0000
0.0000 0.0000 4.0171
0.0000 2.8234 2.3707
2.4452 1.4117 5.6634
0.0000 2.8234 5.5257
2.4452 1.4117 2.5085

=====

Question: Which value of calculated volume does entry 2 give?
Answer: 43.86 A^3/atom

=====

Question: What is the magnetic moment in the third record?
Answer: 0.000 Bohr magnetons per cell

=====

Question: calculated volume of number 2 (BaCa2SiAu)?
Answer: 43.86 A^3/atom